(1)
VASP calculation (GGA-PBE) on a relaxed NaPaCu2F8 crystal.

Calculated values
- SG = R32 (155)

Cell lengths 4.9186, 4.9186, 9.0112 Å; angles 74.16, 74.16, 60.00 degrees
Last column: magnetic moment on the atom in μB.
Fractional coordinates of all 12 atoms:
F (0.9005, 0.5384, 0.3432)  0.00
F (0.2178, 0.9005, 0.3432)  0.00
F (0.5384, 0.2178, 0.3432)  0.00
F (0.7822, 0.4616, 0.6568)  0.00
F (0.4616, 0.0995, 0.6568)  0.00
F (0.6509, 0.6509, 0.0473)  0.01
F (0.0995, 0.7822, 0.6568)  0.00
F (0.3491, 0.3491, 0.9527)  0.01
Cu (0.7233, 0.7233, 0.8302)  0.11
Cu (0.2767, 0.2767, 0.1698)  0.11
Na (0.0000, 0.0000, 0.0000)  0.00
Pa (0.5000, 0.5000, 0.5000)  -0.04

---

(2)
VASP calculation (GGA-PBE) on a relaxed Na2CuPbF8 crystal.

Calculated values
- SG = P-1 (2)

Cell lengths 5.0213, 5.1661, 6.9416 Å; angles 93.29, 87.11, 94.32 degrees
Last column: magnetic moment on the atom in μB.
Fractional coordinates of all 12 atoms:
F (0.2733, 0.2622, 0.9990)  0.08
F (0.8047, 0.2160, 0.7192)  0.00
F (0.6867, 0.7120, 0.5028)  0.00
F (0.3133, 0.2880, 0.4972)  0.00
F (0.1953, 0.7840, 0.2808)  0.00
F (0.7267, 0.7378, 0.0010)  0.08
F (0.1597, 0.8349, 0.7482)  0.06
F (0.8403, 0.1651, 0.2518)  0.06
Cu (0.0000, 0.0000, 0.0000)  0.74
Na (0.5204, 0.4833, 0.2311)  0.00
Na (0.4796, 0.5167, 0.7689)  0.00
Pb (0.0000, 0.0000, 0.5000)  0.00

---

(3)
VASP calculation (GGA-PBE) on a relaxed NaCuPbF6 crystal.

Calculated values
- SG = P312 (149)

Cell lengths 5.0828, 5.5533, 5.5533 Å; angles 120.00, 90.00, 90.00 degrees
Last column: magnetic moment on the atom in μB.
Fractional coordinates of all 9 atoms:
Cu (0.5000, 0.0000, 0.0000)  1.02
F (0.2817, 0.0008, 0.7118)  0.13
F (0.2817, 0.7109, 0.9992)  0.13
F (0.7183, 0.7109, 0.7118)  0.13
F (0.2817, 0.2882, 0.2891)  0.13
F (0.7183, 0.0008, 0.2891)  0.13
F (0.7183, 0.2882, 0.9992)  0.13
Na (0.5000, 0.6667, 0.3333)  0.00
Pb (0.0000, 0.3333, 0.6667)  0.07

---

(4)
VASP calculation (GGA-PBE) on a relaxed NaCu2PbF8 crystal.

Calculated values
- SG = I-4 (82)

Cell lengths 5.5607, 5.5607, 6.5722 Å; angles 115.03, 115.03, 90.00 degrees
Last column: magnetic moment on the atom in μB.
Fractional coordinates of all 12 atoms:
Cu (0.5000, 0.5000, 0.0000)  0.55
Cu (0.2500, 0.7500, 0.5000)  0.55
F (0.4216, 0.2651, 0.1193)  0.02
F (0.0389, 0.4099, 0.3921)  0.03
F (0.6977, 0.8543, 0.1193)  0.02
F (0.3532, 0.9822, 0.3921)  0.03
F (0.7349, 0.3023, 0.8807)  0.02
F (0.5901, 0.6468, 0.6079)  0.03
F (0.1457, 0.5784, 0.8807)  0.02
F (0.0178, 0.9611, 0.6079)  0.03
Pb (0.7500, 0.2500, 0.5000)  -0.12
Na (0.0000, 0.0000, 0.0000)  0.00

---

(5)
VASP calculation (GGA-PBE) on a relaxed NaCuPd2F6 crystal.

Calculated values
- SG = P1 (1)

Cell lengths 5.7403, 5.5876, 6.1874 Å; angles 61.40, 59.54, 60.12 degrees
Last column: magnetic moment on the atom in μB.
Fractional coordinates of all 10 atoms:
F (0.1150, 0.4168, 0.7324)  0.13
F (0.6059, 0.2314, 0.2403)  0.14
F (0.4040, 0.6998, 0.7654)  0.13
F (0.2338, 0.9442, 0.2277)  0.14
F (0.9463, 0.5816, 0.2318)  0.14
F (0.6998, 0.1254, 0.7826)  0.14
Pd (0.0140, 0.0136, 0.9634)  1.34
Pd (0.5178, 0.5149, 0.4491)  1.27
Cu (0.3216, 0.3135, 0.0484)  0.51
Na (0.8035, 0.8205, 0.5741)  0.00

---

(6)
VASP calculation (GGA-PBE) on a relaxed NaCu2PdF crystal.

Calculated values
- SG = P4/mmm (123)

Cell lengths 4.8427, 4.2467, 4.8427 Å; angles 90.00, 90.00, 90.00 degrees
Fractional coordinates of all 5 atoms:
Pd (0.0000, 0.0000, 0.0000)
Na (0.5000, 0.5000, 0.5000)
Cu (0.0000, 0.0000, 0.5000)
Cu (0.5000, 0.0000, 0.0000)
F (0.0000, 0.5000, 0.0000)

---

| no. | total magnetization (μB/atom) | formation energy from raw total energies (eV/atom) |
| --- | --- | --- |
| 1 | 0.0169 | -2.51 |
| 2 | 0.0879 | -2.14 |
| 3 | 0.2150 | -2.07 |
| 4 | 0.0990 | -1.87 |
| 5 | 0.4024 | -1.40 |
| 6 | 0.0000 | -0.02 |